[1]
{"formula": "BaCaAcGa", "functional": "PBE-GGA", "state": "relaxed", "cell": [[8.412, 0.000, 0.000], [0.000, 8.412, 0.000], [0.000, 0.000, 8.412]], "species": ["Ba", "Ba", "Ba", "Ba", "Ca", "Ca", "Ca", "Ca", "Ac", "Ac", "Ac", "Ac", "Ga", "Ga", "Ga", "Ga"], "frac_coords": [[0.000, 0.000, 0.000], [0.000, 0.500, 0.500], [0.500, 0.000, 0.500], [0.500, 0.500, 0.000], [0.250, 0.250, 0.250], [0.250, 0.750, 0.750], [0.750, 0.250, 0.750], [0.750, 0.750, 0.250], [0.000, 0.000, 0.500], [0.000, 0.500, 0.000], [0.500, 0.000, 0.000], [0.500, 0.500, 0.500], [0.250, 0.250, 0.750], [0.250, 0.750, 0.250], [0.750, 0.250, 0.250], [0.750, 0.750, 0.750]], "e_form_ev_per_atom": -0.04}

=====

[2]
{"formula": "ThHgPd2Pt", "functional": "PBE-GGA", "state": "relaxed", "cell": [[4.650, 0.000, 0.000], [-2.325, 4.027, 0.000], [0.000, 0.000, 5.668]], "species": ["Th", "Hg", "Pd", "Pd", "Pt"], "frac_coords": [[0.000, 0.000, 0.000], [0.333, 0.667, 0.542], [0.000, 0.000, 0.486], [0.667, 0.333, 0.731], [0.667, 0.333, 0.230]], "e_form_ev_per_atom": -0.64}

=====

[3]
{"formula": "Ca5Si", "functional": "PBE-GGA", "state": "relaxed", "cell": [[13.063, 0.000, 0.000], [0.000, 3.841, 0.000], [-3.825, 0.000, 8.447]], "species": ["Ca", "Ca", "Ca", "Ca", "Ca", "Ca", "Ca", "Ca", "Ca", "Ca", "Si", "Si"], "frac_coords": [[0.000, 0.000, 0.000], [0.124, 0.500, 0.377], [0.166, 0.500, 0.775], [0.334, 0.000, 0.225], [0.376, 0.000, 0.623], [0.500, 0.500, 0.000], [0.624, 0.000, 0.377], [0.666, 0.000, 0.775], [0.834, 0.500, 0.225], [0.876, 0.500, 0.623], [0.000, 0.000, 0.500], [0.500, 0.500, 0.500]], "relative_energy_mev_per_atom": 5.1}

=====

The records above give, respectively, raw total energy values of -44.9, -27.3, -32.1 eV/cell.